SmSc2Ga2 | PBE-GGA | optimized geometry

## Properties
* electronic total energy: -5.097 eV per atom
* ΔH_f (0 K): -2.05 eV per formula unit
* SG: P2_1/m (11)

```
10
Lattice="5.078 0.000 0.000 0.000 4.207 0.000 -0.896 0.000 11.072" Properties=species:S:1:pos:R:3 pbc="T T T"
Sm 0.718 1.052 2.706
Sm 3.463 3.155 8.365
Sc 0.798 3.155 5.375
Sc 0.982 1.052 9.867
Sc 3.200 3.155 1.205
Sc 3.384 1.052 5.696
Ga 0.716 3.155 0.271
Ga 0.836 1.052 7.150
Ga 3.346 3.155 3.921
Ga 3.466 1.052 10.801
```

***

Sm3Sc2Ga3 | PBE-GGA | optimized geometry

## Properties
* electronic total energy: -4.962 eV per atom
* ΔH_f (0 K): -3.80 eV per formula unit
* SG: P6_3/mcm (193)

```
16
Lattice="8.606 0.000 0.000 -4.303 7.453 0.000 0.000 0.000 6.179" Properties=species:S:1:pos:R:3 pbc="T T T"
Sm -1.062 1.839 1.545
Sm -3.241 5.614 4.634
Sm 2.123 0.000 1.545
Sm 1.062 1.839 4.634
Sm 6.482 0.000 4.634
Sm 3.241 5.614 1.545
Sc 0.000 4.968 0.000
Sc 0.000 4.968 3.089
Sc 4.303 2.484 0.000
Sc 4.303 2.484 3.089
Ga -1.751 3.033 4.634
Ga -2.552 4.419 1.545
Ga 3.502 0.000 4.634
Ga 1.751 3.033 1.545
Ga 5.103 0.000 1.545
Ga 2.552 4.419 4.634
```

***

Sm2ScGa6 | PBE-GGA | optimized geometry

## Properties
* electronic total energy: -4.162 eV per atom
* ΔH_f (0 K): -3.53 eV per formula unit
* SG: Immm (71)

```
9
Lattice="-2.146 3.449 6.819 2.146 -3.449 6.819 2.146 3.449 -6.819" Properties=species:S:1:pos:R:3 pbc="T T T"
Sm 0.000 0.000 1.709
Sm 0.000 0.000 11.929
Sc 0.000 3.449 0.000
Ga 2.146 2.146 -2.488
Ga 2.146 1.432 0.000
Ga 2.146 2.146 2.488
Ga 0.000 1.302 4.330
Ga 0.000 2.017 6.819
Ga 0.000 1.302 9.307
```

***

SmScGa | PBE-GGA | optimized geometry

## Properties
* electronic total energy: -5.132 eV per atom
* ΔH_f (0 K): -1.32 eV per formula unit
* SG: P4/nmm (129)

```
6
Lattice="4.401 0.000 0.000 0.000 4.401 0.000 0.000 0.000 7.752" Properties=species:S:1:pos:R:3 pbc="T T T"
Sm 1.100 1.100 1.129
Sm 3.301 3.301 6.623
Sc 1.100 3.301 3.876
Sc 3.301 1.100 3.876
Ga 1.100 1.100 5.777
Ga 3.301 3.301 1.975
```

***

SmScGa | PBE-GGA | optimized geometry

## Properties
* electronic total energy: -5.045 eV per atom
* ΔH_f (0 K): -1.06 eV per formula unit
* SG: I4mm (107)

```
3
Lattice="-1.692 1.692 6.371 1.692 -1.692 6.371 1.692 1.692 -6.371" Properties=species:S:1:pos:R:3 pbc="T T T"
Sm 0.000 0.000 0.000
Sc 0.000 0.000 3.755
Ga 0.000 0.000 8.450
```

***

SmSc5Ga4 | PBE-GGA | optimized geometry

## Properties
* electronic total energy: -5.316 eV per atom
* ΔH_f (0 K): -4.68 eV per formula unit
* SG: P4/mmm (123)

```
10
Lattice="3.332 0.000 0.000 0.000 3.332 0.000 0.000 0.000 18.815" Properties=species:S:1:pos:R:3 pbc="T T T"
Sm 0.000 0.000 0.000
Sc 1.666 1.666 2.569
Sc 1.666 1.666 5.981
Sc 1.666 1.666 9.407
Sc 1.666 1.666 12.834
Sc 1.666 1.666 16.245
Ga 0.000 0.000 4.239
Ga 0.000 0.000 7.688
Ga 0.000 0.000 11.126
Ga 0.000 0.000 14.576
```

***

SmScGa3 | PBE-GGA | optimized geometry

## Properties
* electronic total energy: -4.661 eV per atom
* ΔH_f (0 K): -3.17 eV per formula unit
* SG: Cmcm (63)

```
10
Lattice="2.048 -12.566 0.000 2.048 12.566 0.000 0.000 0.000 4.146" Properties=species:S:1:pos:R:3 pbc="T T T"
Sm 2.048 10.666 3.110
Sm 2.048 -10.666 1.037
Sc 2.048 7.412 1.037
Sc 2.048 -7.412 3.110
Ga 2.048 4.580 1.037
Ga 2.048 3.120 3.110
Ga 2.048 0.633 3.110
Ga 2.048 -0.633 1.037
Ga 2.048 -3.120 1.037
Ga 2.048 -4.580 3.110
```

***

Sm3Sc2Ga4 | PBE-GGA | optimized geometry

## Properties
* electronic total energy: -4.830 eV per atom
* ΔH_f (0 K): -4.54 eV per formula unit
* SG: C2/m (12)

```
9
Lattice="5.786 -2.252 0.000 5.786 2.252 0.000 -4.150 0.000 8.255" Properties=species:S:1:pos:R:3 pbc="T T T"
Sm 0.000 0.000 0.000
Sm 2.898 0.000 2.569
Sm 4.525 0.000 5.686
Sc 1.191 0.000 5.593
Sc 6.232 0.000 2.661
Ga -0.876 0.000 3.415
Ga -0.562 0.000 7.863
Ga 7.985 0.000 0.391
Ga 8.299 0.000 4.839
```